Record 1
Li3Sb17S27: relaxed, PBEsol.

Values from the calculation:
Symmetry = P1

POSCAR file:
```
Li3Sb17S27
1.0
-0.5076 1.4509 8.5246
7.3343 -4.5980 0.3347
4.3681 14.0874 -3.4419
Sb S Li
17 27 3
Cartesian
6.1202 12.3865 2.2336
7.0822 6.1720 -0.8862
10.3943 8.0564 5.1383
1.7761 5.9473 3.2762
2.6936 -0.5880 0.2780
4.4432 8.6009 4.8717
11.1706 8.8439 -0.4020
8.0016 9.1595 2.0379
3.0019 1.7536 3.3816
-0.0387 1.9384 5.7979
6.8342 2.4313 0.6942
8.4396 11.4703 5.1911
9.5090 4.9198 2.0440
0.7856 2.8386 0.4439
4.0049 4.9306 6.2698
4.9499 -1.6144 3.2028
5.2952 0.7527 6.3050
10.5945 6.4723 -0.9104
5.2971 7.9245 -1.2695
1.5372 5.2209 0.6666
3.6025 13.0959 1.8737
3.2475 1.9787 0.7316
5.3359 4.6550 0.0978
3.5915 7.3192 2.2956
5.6468 9.9697 1.8471
8.7207 9.6753 -0.7267
5.3004 -1.1823 0.5662
2.5405 7.1520 5.6512
7.3888 6.7590 1.7246
3.7601 4.1962 3.6649
8.7155 3.7406 -0.2380
5.9187 12.1668 4.8222
2.3735 -1.0714 2.8732
2.5461 1.3729 6.1213
5.5320 0.9464 3.6948
7.6118 3.6520 3.0407
5.8825 6.2446 5.3092
7.9214 8.9503 4.6939
7.6266 -2.1845 3.5389
9.7192 5.6736 4.7465
6.0496 3.1468 6.6213
4.5774 -2.0906 5.9015
7.7931 -0.1385 6.6509
3.8633 15.5309 5.0609
3.4207 6.6347 -0.2806
5.5888 5.5080 2.7419
7.8597 4.4646 5.6876
```

Record 2
Li3SbS4: relaxed, PBEsol.

Values from the calculation:
Offset from the most stable computed form = 5 meV per atom
Symmetry = I-42m

POSCAR file:
```
Li3SbS4
1.0
5.6293 0.0000 0.0000
0.0000 5.6293 0.0000
-2.8147 -2.8147 5.3868
Sb S Li
1 4 3
Cartesian
0.0000 0.0000 0.0000
1.3569 4.2725 1.3687
4.2725 1.3569 1.3687
1.4578 1.4578 4.0181
-1.4578 -1.4578 4.0181
2.8147 2.8147 0.0000
0.0000 2.8147 2.6934
2.8147 0.0000 2.6934
```

Record 3
Li7Sb2S2: relaxed, PBEsol.

Values from the calculation:
Offset from the most stable computed form = 0 meV per atom
Symmetry = P-1

POSCAR file:
```
Li7Sb2S2
1.0
-3.5962 -3.2371 2.7045
-4.9077 -3.7284 -6.2309
3.0107 -9.1253 -2.2117
Sb S Li
4 4 14
Cartesian
-3.6547 -13.2285 -3.4660
-1.7979 -8.7154 -4.2437
-3.6954 -7.3754 -1.4944
-1.8385 -2.8622 -2.2722
-0.6519 -11.2173 -0.9772
0.3418 -7.5079 -0.9816
-5.8351 -8.5828 -4.7565
-4.8414 -4.8734 -4.7610
-1.5189 -11.3562 -3.2035
0.7711 -8.7182 -3.0861
-4.0019 -13.3512 -6.2792
-2.1859 -11.6483 -7.4413
-3.9037 -9.4663 -5.8750
-4.4862 -9.6993 -3.0646
-1.4653 -9.0581 -1.3709
-4.0280 -7.0327 -4.3673
-1.0071 -6.3915 -2.6736
-1.5896 -6.6245 0.1369
-3.3074 -4.4425 1.7031
-1.4914 -2.7396 0.5410
-6.2644 -7.3726 -2.6521
-3.9744 -4.7346 -2.5346
```

Record 4
Li5SbS4: relaxed, PBEsol.

Values from the calculation:
Offset from the most stable computed form = 0 meV per atom
Symmetry = Cmc2_1

POSCAR file:
```
Li5SbS4
1.0
-5.8162 -3.0809 -3.3214
3.5460 -3.4621 5.4581
-4.7502 3.3499 5.2110
Li Sb S
10 2 8
Cartesian
-4.2091 1.1209 3.6344
-0.9340 -0.5907 1.8730
-1.9176 -1.5670 -0.5610
-1.7623 0.0050 4.4173
0.1848 -2.1334 5.9557
-8.4173 -0.2049 2.7217
-2.8737 -3.1981 5.4634
-3.0289 -4.7701 0.4850
-2.3409 -4.6457 3.1972
-5.6160 -2.9341 4.9587
-3.7110 -0.4109 7.0911
-4.4783 -1.9579 1.5388
-0.6513 -4.1334 4.9145
-7.4130 -2.2798 3.4065
-1.1244 -0.2366 10.3727
-7.9063 -1.5387 -0.8197
-2.1512 -2.7478 1.5924
-3.9458 -1.0965 4.7423
-6.3101 0.8987 2.3685
0.4515 -0.9548 3.8765
```

Energy relative to the elements, uncorrected, record by record: -0.383 -0.835 -0.882 -1.055 eV/atom